VASP calculation (PBEsol) on TaMnTe3 after structural relaxation.

CIF file:
```
data_TaMnTe3
_symmetry_space_group_name_H-M 'P m -3 m'
_symmetry_Int_Tables_number 221
_symmetry_space_group_name_Hall '-P 4 2 3'
_cell_length_a 4.996
_cell_length_b 4.996
_cell_length_c 4.996
_cell_angle_alpha 90.00
_cell_angle_beta 90.00
_cell_angle_gamma 90.00
loop_
_atom_site_label
_atom_site_fract_x
_atom_site_fract_y
_atom_site_fract_z
_atom_site_occupancy
Ta1 0.000 0.000 0.000 1
Mn1 0.500 0.500 0.500 1
Te1 0.000 0.500 0.500 1
```

E = -5.611 eV per atom
Crystal system = cubic
Volume = 24.93 Å³/atom
Raw formation energy = 0.9671 eV/atom